1.
# ZnBNO

A relaxed ZnBNO crystal (GGA-PBE, OQMD via LeMat-Bulk).

Output
total energy = -6.470 eV per atom

Unit cell a=4.838 b=6.099 c=4.457 alpha=90.00 beta=90.00 gamma=90.00
Atoms (fractional coordinates):
Zn: 0.067 0.154 0.000
Zn: 0.433 0.154 0.500
Zn: 0.567 0.846 0.000
Zn: 0.933 0.846 0.500
B: 0.098 0.591 0.981
B: 0.402 0.591 0.481
B: 0.598 0.409 0.981
B: 0.902 0.409 0.481
N: 0.112 0.571 0.629
N: 0.388 0.571 0.129
N: 0.612 0.429 0.629
N: 0.888 0.429 0.129
O: 0.016 0.167 0.547
O: 0.484 0.167 0.047
O: 0.516 0.833 0.547
O: 0.984 0.833 0.047


2.
# LuGa2Ni

A relaxed LuGa2Ni crystal (GGA-PBE, OQMD via LeMat-Bulk).

Output
total moment = 0.0 μB per formula unit
total energy = -4.691 eV per atom

Unit cell a=4.090 b=9.835 c=6.621 alpha=90.00 beta=90.00 gamma=90.00
Atoms (fractional coordinates):
Lu: 0.000 0.072 0.250
Lu: 0.000 0.928 0.750
Lu: 0.500 0.428 0.750
Lu: 0.500 0.572 0.250
Ga: 0.000 0.358 0.052
Ga: 0.000 0.358 0.448
Ga: 0.000 0.642 0.552
Ga: 0.000 0.642 0.948
Ga: 0.500 0.142 0.552
Ga: 0.500 0.142 0.948
Ga: 0.500 0.858 0.052
Ga: 0.500 0.858 0.448
Ni: 0.000 0.209 0.750
Ni: 0.000 0.791 0.250
Ni: 0.500 0.291 0.250
Ni: 0.500 0.709 0.750


3.
# KRb3Pd2O6

A relaxed KRb3Pd2O6 crystal (GGA-PBE, OQMD via LeMat-Bulk).

Output
total energy = -4.466 eV per atom

Unit cell a=6.518 b=6.518 c=7.321 alpha=90.00 beta=90.00 gamma=120.00
Atoms (fractional coordinates):
K: 0.000 0.000 0.000
Rb: 0.000 0.000 0.500
Rb: 0.333 0.667 0.236
Rb: 0.667 0.333 0.764
Pd: 0.333 0.667 0.757
Pd: 0.667 0.333 0.243
O: 0.172 0.344 0.761
O: 0.172 0.828 0.761
O: 0.344 0.172 0.239
O: 0.656 0.828 0.761
O: 0.828 0.172 0.239
O: 0.828 0.656 0.239


4.
# KPrAl

A relaxed KPrAl crystal (GGA-PBE, OQMD via LeMat-Bulk).

Output
total moment = 0.0 μB per formula unit
total energy = -2.557 eV per atom

Unit cell a=7.611 b=7.611 c=7.611 alpha=90.00 beta=90.00 gamma=90.00
Atoms (fractional coordinates):
K: 0.000 0.000 0.000
K: 0.000 0.500 0.500
K: 0.500 0.000 0.500
K: 0.500 0.500 0.000
Pr: 0.250 0.250 0.750
Pr: 0.250 0.750 0.250
Pr: 0.750 0.250 0.250
Pr: 0.750 0.750 0.750
Al: 0.000 0.000 0.500
Al: 0.000 0.500 0.000
Al: 0.500 0.000 0.000
Al: 0.500 0.500 0.500